Record 1
BaSr2Zn2Ge2: relaxed, GGA-PBE. Values from VASP.

Quantum ESPRESSO input file:
```
&SYSTEM
  ibrav = 0, nat = 7, ntyp = 4
/
ATOMIC_SPECIES
Ba 137.33 Ba.upf
Sr 87.62 Sr.upf
Zn 65.41 Zn.upf
Ge 72.64 Ge.upf
CELL_PARAMETERS angstrom
-4.054 -0.719 1.580
-0.740 -3.402 2.706
1.063 6.233 11.719
ATOMIC_POSITIONS crystal
Ba 0.000 0.000 0.000
Sr 0.119 0.119 0.644
Sr 0.881 0.881 0.356
Zn 0.603 0.603 0.190
Zn 0.397 0.397 0.810
Ge 0.730 0.730 0.809
Ge 0.270 0.270 0.191
```

---

Record 2
! BaTaGe2 | the Alexandria database | GGA-PBE | relaxed; values from VASP
&SYSTEM
  ibrav = 0, nat = 8, ntyp = 3
/
ATOMIC_SPECIES
Ge 72.64 Ge.upf
Ba 137.33 Ba.upf
Ta 180.95 Ta.upf
CELL_PARAMETERS angstrom
-4.045 -0.559 3.821
3.517 -2.817 3.311
2.120 5.489 7.139
ATOMIC_POSITIONS crystal
Ge 0.874 0.125 0.250
Ge 0.876 0.625 0.250
Ge 0.375 0.126 0.750
Ge 0.875 0.124 0.750
Ba 0.500 0.500 0.000
Ba 0.250 0.750 0.500
Ta 0.000 0.000 0.000
Ta 0.750 0.250 0.500
! Distance to the lowest polymorph of the same formula = 0.000 eV/atom

---

Record 3
! BaTa3Ge | the Alexandria database | GGA-PBE | relaxed; values from VASP
&SYSTEM
  ibrav = 0, nat = 5, ntyp = 3
/
ATOMIC_SPECIES
Ge 72.64 Ge.upf
Ba 137.33 Ba.upf
Ta 180.95 Ta.upf
CELL_PARAMETERS angstrom
-2.112 -4.234 -1.590
0.966 -2.137 4.406
-4.418 1.557 1.724
ATOMIC_POSITIONS crystal
Ge 0.000 0.000 0.000
Ba 0.500 0.500 0.500
Ta 0.000 0.500 0.000
Ta 0.000 0.000 0.500
Ta 0.500 0.000 0.000
! Distance to the lowest polymorph of the same formula = 0.000 eV/atom

---

Record 4
! BaTa3Ge | the Alexandria database | GGA-PBE | relaxed; values from VASP
&SYSTEM
  ibrav = 0, nat = 5, ntyp = 3
/
ATOMIC_SPECIES
Ge 72.64 Ge.upf
Ba 137.33 Ba.upf
Ta 180.95 Ta.upf
CELL_PARAMETERS angstrom
-3.286 0.262 3.893
-2.894 -3.578 -2.202
2.618 -3.627 2.454
ATOMIC_POSITIONS crystal
Ge 0.500 0.500 0.500
Ba 0.000 0.000 0.000
Ta 0.000 0.500 0.000
Ta 0.000 0.000 0.500
Ta 0.500 0.000 0.000
! Distance to the lowest polymorph of the same formula = 1.821 eV/atom

---

Record 5
! BaTaGe2 | the Alexandria database | GGA-PBE | relaxed; values from VASP
&SYSTEM
  ibrav = 0, nat = 4, ntyp = 3
/
ATOMIC_SPECIES
Ge 72.64 Ge.upf
Ba 137.33 Ba.upf
Ta 180.95 Ta.upf
CELL_PARAMETERS angstrom
0.000 3.596 3.596
3.596 0.000 3.596
3.596 3.596 0.000
ATOMIC_POSITIONS crystal
Ge 0.250 0.250 0.250
Ge 0.750 0.750 0.750
Ba 0.000 0.000 0.000
Ta 0.500 0.500 0.500
! Distance to the lowest polymorph of the same formula = 0.368 eV/atom

---

Record 6
! Ba3TaGe | the Alexandria database | GGA-PBE | relaxed; values from VASP
&SYSTEM
  ibrav = 0, nat = 5, ntyp = 3
/
ATOMIC_SPECIES
Ge 72.64 Ge.upf
Ba 137.33 Ba.upf
Ta 180.95 Ta.upf
CELL_PARAMETERS angstrom
6.302 0.000 0.000
0.000 6.302 0.000
0.000 0.000 6.302
ATOMIC_POSITIONS crystal
Ge 0.000 0.000 0.000
Ba 0.000 0.500 0.000
Ba 0.000 0.000 0.500
Ba 0.500 0.000 0.000
Ta 0.500 0.500 0.500
! Distance to the lowest polymorph of the same formula = 0.000 eV/atom

---

Record-wise energy relative to the elements values, in eV/atom: -0.44; 0.06; 1.19; 3.01; 0.42; 0.88